[1]
ScTc2Ir | PBE-GGA | relaxed

## Properties
ΔH_f (0 K)   0.130 eV/atom
Total magnetic moment   0.00 Bohr magnetons per cell
SG   R-3m (166)
Calculated total energy   -8.851 eV/atom

Cell and atoms, written as POSCAR:
```
ScTc2Ir
1.0
1.4153 0.8171 9.1501
-1.4153 0.8171 9.1501
0.0000 -1.6342 9.1501
Sc Tc Ir
1 2 1
direct
0.0000 0.0000 0.0000
0.2456 0.2456 0.2456
0.7544 0.7544 0.7544
0.5000 0.5000 0.5000
```

[2]
Rb2LiTeBr6 | PBE-GGA | relaxed

## Properties
E_form (uncorrected)   -1.063 eV per atom
Total magnetic moment   0.94 Bohr magnetons per cell
SG   Pmmn (59)
Calculated total energy   -2.766 eV/atom

Cell and atoms, written as POSCAR:
```
Rb2LiTeBr6
1.0
8.2350 0.0000 0.0000
0.0000 10.9205 0.0000
0.0000 0.0000 8.2420
Rb Li Te Br
4 2 2 12
direct
0.2500 0.0097 0.1608
0.2500 0.4903 0.1608
0.7500 0.5097 0.8392
0.7500 0.9903 0.8392
0.2500 0.2500 0.7753
0.7500 0.7500 0.2247
0.2500 0.7500 0.6981
0.7500 0.2500 0.3019
0.0001 0.2500 0.9440
0.9999 0.7500 0.0560
0.0580 0.2500 0.4172
0.2500 0.5017 0.7008
0.2500 0.9983 0.7008
0.4420 0.2500 0.4172
0.4999 0.2500 0.9440
0.5001 0.7500 0.0560
0.5580 0.7500 0.5828
0.7500 0.0017 0.2992
0.7500 0.4983 0.2992
0.9420 0.7500 0.5828
```

[3]
Li2LaNdTe4 | PBE-GGA | relaxed

## Properties
E_form (uncorrected)   -1.332 eV per atom
Total magnetic moment   0.00 Bohr magnetons per cell
SG   P2/m (10)
Calculated total energy   -4.594 eV/atom

Cell and atoms, written as POSCAR:
```
Li2LaNdTe4
1.0
7.5432 0.0000 0.0000
0.0000 4.5118 0.0000
-2.6943 0.0000 7.3340
Li La Nd Te
2 1 1 4
direct
0.0000 0.0000 0.0000
0.0000 0.5000 0.5000
0.5000 0.0000 0.5000
0.5000 0.5000 0.0000
0.2364 0.5000 0.2420
0.2377 0.0000 0.7494
0.7623 0.0000 0.2506
0.7636 0.5000 0.7580
```

[4]
TaTe4Os | PBE-GGA | relaxed

## Properties
E_form (uncorrected)   1.774 eV per atom
Total magnetic moment   0.68 Bohr magnetons per cell
SG   F-43m (216)
Calculated total energy   -4.167 eV/atom

Cell and atoms, written as POSCAR:
```
TaTe4Os
1.0
0.0000 4.2359 4.2359
4.2359 0.0000 4.2359
4.2359 4.2359 0.0000
Ta Te Os
1 4 1
direct
0.0000 0.0000 0.0000
0.1260 0.6247 0.6247
0.6247 0.1260 0.6247
0.6247 0.6247 0.1260
0.6247 0.6247 0.6247
0.2500 0.2500 0.2500
```

[5]
Sm3SnIr | PBE-GGA | relaxed

## Properties
ΔH_f (0 K)   -0.475 eV/atom
Total magnetic moment   0.00 Bohr magnetons per cell
SG   P2_1/m (11)
Calculated total energy   -5.879 eV/atom

Cell and atoms, written as POSCAR:
```
Sm3SnIr
1.0
5.3493 0.0000 0.0000
0.0000 5.6194 0.0000
-0.0175 0.0000 9.9675
Sm Sn Ir
6 2 2
direct
0.0008 0.2500 0.0950
0.0008 0.7500 0.3270
0.4983 0.7500 0.6481
0.5017 0.2500 0.3519
0.9992 0.2500 0.6730
0.9992 0.7500 0.9050
0.4995 0.2500 0.8697
0.5005 0.7500 0.1303
0.0019 0.2500 0.3794
0.9981 0.7500 0.6206
```

[6]
LiSiRu2 | PBE-GGA | relaxed

## Properties
E_form (uncorrected)   -0.092 eV per atom
Total magnetic moment   0.00 Bohr magnetons per cell
SG   Pmm2 (25)
Calculated total energy   -6.564 eV/atom

Cell and atoms, written as POSCAR:
```
LiSiRu2
1.0
2.7533 0.0000 0.0000
0.0000 3.6333 0.0000
0.0000 0.0000 5.1768
Li Si Ru
1 1 2
direct
0.0000 0.0000 0.0000
0.5000 0.5000 0.7591
0.0000 0.0000 0.5100
0.5000 0.5000 0.2421
```

[7]
TiIn2I | PBE-GGA | relaxed

## Properties
E_form (uncorrected)   0.569 eV per atom
Total magnetic moment   2.15 Bohr magnetons per cell
SG   Fm-3m (225)
Calculated total energy   -3.161 eV/atom

Cell and atoms, written as POSCAR:
```
TiIn2I
1.0
0.0000 3.8257 3.8257
3.8257 0.0000 3.8257
3.8257 3.8257 0.0000
Ti In I
1 2 1
direct
0.0000 0.0000 0.0000
0.2500 0.2500 0.2500
0.7500 0.7500 0.7500
0.5000 0.5000 0.5000
```

[8]
Be2SiPtO | PBE-GGA | relaxed

## Properties
E_form (uncorrected)   0.421 eV per atom
Total magnetic moment   0.00 Bohr magnetons per cell
SG   P4/mmm (123)
Calculated total energy   -4.354 eV/atom

Cell and atoms, written as POSCAR:
```
Be2SiPtO
1.0
4.2558 0.0000 0.0000
0.0000 4.2558 0.0000
0.0000 0.0000 4.5155
Be Si Pt O
2 1 1 1
direct
0.0000 0.5000 0.0000
0.5000 0.0000 0.0000
0.0000 0.0000 0.5000
0.0000 0.0000 0.0000
0.5000 0.5000 0.5000
```

[9]
Zr2NiMo | PBE-GGA | relaxed

## Properties
ΔH_f (0 K)   0.275 eV/atom
Total magnetic moment   0.00 Bohr magnetons per cell
SG   R3m (160)
Calculated total energy   -8.152 eV/atom

Cell and atoms, written as POSCAR:
```
Zr2NiMo
1.0
1.5415 0.8900 8.9728
-1.5415 0.8900 8.9728
0.0000 -1.7800 8.9728
Zr Ni Mo
2 1 1
direct
0.0000 0.0000 0.0000
0.2355 0.2355 0.2355
0.7473 0.7473 0.7473
0.4816 0.4816 0.4816
```

[10]
Tm2ScAg6 | PBE-GGA | relaxed

## Properties
ΔH_f (0 K)   -0.248 eV/atom
Total magnetic moment   0.00 Bohr magnetons per cell
SG   C2/m (12)
Calculated total energy   -3.846 eV/atom

Cell and atoms, written as POSCAR:
```
Tm2ScAg6
1.0
2.6037 -7.8648 0.0000
2.6037 7.8648 0.0000
-2.5657 0.0000 4.5285
Tm Sc Ag
2 1 6
direct
0.1644 0.8356 0.0000
0.8356 0.1644 0.0000
0.0000 0.0000 0.5000
0.1672 0.4955 0.6640
0.3385 0.3385 0.1763
0.4955 0.1672 0.6640
0.5045 0.8328 0.3360
0.6615 0.6615 0.8237
0.8328 0.5045 0.3360
```

[11]
Tl2ReSi | PBE-GGA | relaxed

## Properties
E_form (uncorrected)   0.469 eV per atom
Total magnetic moment   0.00 Bohr magnetons per cell
SG   R3m (160)
Calculated total energy   -5.182 eV/atom

Cell and atoms, written as POSCAR:
```
Tl2ReSi
1.0
1.5932 0.9198 9.7802
-1.5932 0.9198 9.7802
0.0000 -1.8397 9.7802
Tl Re Si
2 1 1
direct
0.0000 0.0000 0.0000
0.2255 0.2255 0.2255
0.7488 0.7488 0.7488
0.4696 0.4696 0.4696
```

[12]
ZnRePF2 | PBE-GGA | relaxed

## Properties
E_form (uncorrected)   -0.410 eV per atom
Total magnetic moment   2.59 Bohr magnetons per cell
SG   P4/mmm (123)
Calculated total energy   -4.984 eV/atom

Cell and atoms, written as POSCAR:
```
ZnRePF2
1.0
3.6461 0.0000 0.0000
0.0000 3.6461 0.0000
0.0000 0.0000 7.0430
Zn Re P F
1 1 1 2
direct
0.0000 0.0000 0.0000
0.0000 0.0000 0.5000
0.5000 0.5000 0.5000
0.0000 0.5000 0.0000
0.5000 0.0000 0.0000
```

[13]
CuAgMo2 | PBE-GGA | relaxed

## Properties
ΔH_f (0 K)   0.582 eV/atom
Total magnetic moment   0.00 Bohr magnetons per cell
SG   F-43m (216)
Calculated total energy   -6.570 eV/atom

Cell and atoms, written as POSCAR:
```
CuAgMo2
1.0
0.0000 3.1525 3.1525
3.1525 0.0000 3.1525
3.1525 3.1525 0.0000
Cu Ag Mo
1 1 2
direct
0.0000 0.0000 0.0000
0.7500 0.7500 0.7500
0.2500 0.2500 0.2500
0.5000 0.5000 0.5000
```

[14]
RbNi2Sb2 | PBE-GGA | relaxed

## Properties
E_form (uncorrected)   0.055 eV per atom
Total magnetic moment   0.00 Bohr magnetons per cell
SG   P4/mbm (127)
Calculated total energy   -4.100 eV/atom

Cell and atoms, written as POSCAR:
```
RbNi2Sb2
1.0
8.4747 0.0000 0.0000
0.0000 8.4747 0.0000
0.0000 0.0000 3.2014
Rb Ni Sb
2 4 4
direct
0.0000 0.0000 0.0000
0.5000 0.5000 0.0000
0.1076 0.3924 0.0000
0.3924 0.8924 0.0000
0.6076 0.1076 0.0000
0.8924 0.6076 0.0000
0.1394 0.6394 0.5000
0.3606 0.1394 0.5000
0.6394 0.8606 0.5000
0.8606 0.3606 0.5000
```

[15]
Cd4Ga2Hg | PBE-GGA | relaxed

## Properties
ΔH_f (0 K)   0.053 eV/atom
Total magnetic moment   0.00 Bohr magnetons per cell
SG   C2/m (12)
Calculated total energy   -1.378 eV/atom

Cell and atoms, written as POSCAR:
```
Cd4Ga2Hg
1.0
3.4646 -4.8044 0.0000
3.4646 4.8044 0.0000
-3.1793 0.0000 4.8663
Cd Ga Hg
4 2 1
direct
0.0285 0.4380 0.2415
0.4380 0.0285 0.2415
0.5620 0.9715 0.7585
0.9715 0.5620 0.7585
0.4757 0.4757 0.7554
0.5243 0.5243 0.2446
0.0000 0.0000 0.5000
```

[16]
ZrHg2Rh | PBE-GGA | relaxed

## Properties
ΔH_f (0 K)   -0.262 eV/atom
Total magnetic moment   0.00 Bohr magnetons per cell
SG   Pm (6)
Calculated total energy   -4.388 eV/atom

Cell and atoms, written as POSCAR:
```
ZrHg2Rh
1.0
3.4111 0.0000 0.0000
0.0000 3.3686 0.0000
-0.0169 0.0000 7.1396
Zr Hg Rh
1 2 1
direct
0.0000 0.0000 0.0000
0.9996 0.0000 0.5655
0.5009 0.5000 0.2783
0.4990 0.5000 0.8218
```

[17]
CaPm7Nd3 | PBE-GGA | relaxed

## Properties
ΔH_f (0 K)   0.199 eV/atom
Total magnetic moment   0.00 Bohr magnetons per cell
SG   P3m1 (156)
Calculated total energy   -4.306 eV/atom

Cell and atoms, written as POSCAR:
```
CaPm7Nd3
1.0
7.2741 0.0000 0.0000
-3.6371 6.2996 0.0000
0.0000 0.0000 8.8648
Ca Pm Nd
1 7 3
direct
0.0000 0.0000 0.0000
0.0034 0.5017 0.9960
0.3333 0.6667 0.3202
0.3373 0.1686 0.3322
0.4983 0.5017 0.9960
0.4983 0.9966 0.9960
0.8314 0.1686 0.3322
0.8314 0.6627 0.3322
0.1694 0.3388 0.6562
0.1694 0.8306 0.6562
0.6612 0.8306 0.6562
```

[18]
PuZn4Cu2Au | PBE-GGA | relaxed

## Properties
ΔH_f (0 K)   -0.053 eV/atom
Total magnetic moment   5.78 Bohr magnetons per cell
SG   R-3m (166)
Calculated total energy   -3.915 eV/atom

Cell and atoms, written as POSCAR:
```
PuZn4Cu2Au
1.0
2.1128 1.2198 9.0348
-2.1128 1.2198 9.0348
0.0000 -2.4396 9.0348
Pu Zn Cu Au
1 4 2 1
direct
0.0000 0.0000 0.0000
0.1211 0.1211 0.1211
0.4020 0.4020 0.4020
0.5980 0.5980 0.5980
0.8789 0.8789 0.8789
0.2514 0.2514 0.2514
0.7486 0.7486 0.7486
0.5000 0.5000 0.5000
```

[19]
RbCuSn2 | PBE-GGA | relaxed

## Properties
ΔH_f (0 K)   0.406 eV/atom
Total magnetic moment   0.00 Bohr magnetons per cell
SG   Fm-3m (225)
Calculated total energy   -2.861 eV/atom

Cell and atoms, written as POSCAR:
```
RbCuSn2
1.0
0.0000 3.7684 3.7684
3.7684 0.0000 3.7684
3.7684 3.7684 0.0000
Rb Cu Sn
1 1 2
direct
0.0000 0.0000 0.0000
0.5000 0.5000 0.5000
0.2500 0.2500 0.2500
0.7500 0.7500 0.7500
```

[20]
Pm2NdDyBi5 | PBE-GGA | relaxed

## Properties
ΔH_f (0 K)   0.015 eV/atom
Total magnetic moment   0.00 Bohr magnetons per cell
SG   P4/mmm (123)
Calculated total energy   -4.238 eV/atom

Cell and atoms, written as POSCAR:
```
Pm2NdDyBi5
1.0
5.5662 0.0000 0.0000
0.0000 5.5662 0.0000
0.0000 0.0000 11.9524
Pm Nd Dy Bi
2 1 1 5
direct
0.0000 0.0000 0.2256
0.0000 0.0000 0.7744
0.5000 0.5000 0.0000
0.5000 0.5000 0.5000
0.0000 0.0000 0.5000
0.0000 0.5000 0.0000
0.5000 0.0000 0.0000
0.5000 0.5000 0.2570
0.5000 0.5000 0.7430
```